1 | {"formula": "AlZn2Au5", "functional": "PBE", "state": "relaxed", "lattice": [[-0.650, 3.033, 3.064], [-5.266, 0.724, -1.832], [-3.478, -7.752, 6.934]], "species": ["Al", "Al", "Zn", "Zn", "Zn", "Zn", "Au", "Au", "Au", "Au", "Au", "Au", "Au", "Au", "Au", "Au"], "frac_coords": [[0.000, 0.000, 0.500], [0.000, 0.500, 0.000], [0.500, 0.343, 0.359], [0.500, 0.657, 0.641], [0.500, 0.157, 0.859], [0.500, 0.843, 0.141], [0.500, 0.327, 0.105], [0.500, 0.673, 0.895], [0.500, 0.827, 0.395], [0.500, 0.173, 0.605], [0.000, 0.898, 0.734], [0.000, 0.102, 0.266], [0.000, 0.398, 0.766], [0.000, 0.602, 0.234], [0.000, 0.500, 0.500], [0.000, 0.000, 0.000]], "sg": "Pbam", "n_ef_per_ev_cell": 2.95}

2 | {"formula": "AlZn2Au5", "functional": "PBE", "state": "relaxed", "lattice": [[4.137, 0.000, 0.000], [-2.068, 8.207, 0.000], [0.000, 0.000, 10.895]], "species": ["Al", "Al", "Zn", "Zn", "Zn", "Zn", "Au", "Au", "Au", "Au", "Au", "Au", "Au", "Au", "Au", "Au"], "frac_coords": [[0.846, 0.691, 0.750], [0.154, 0.309, 0.250], [0.873, 0.747, 0.433], [0.873, 0.747, 0.067], [0.127, 0.253, 0.567], [0.127, 0.253, 0.933], [0.973, 0.947, 0.878], [0.973, 0.947, 0.622], [0.264, 0.527, 0.420], [0.264, 0.527, 0.080], [0.760, 0.520, 0.250], [0.240, 0.480, 0.750], [0.736, 0.473, 0.580], [0.736, 0.473, 0.920], [0.027, 0.053, 0.122], [0.027, 0.053, 0.378]], "sg": "Cmcm", "n_ef_per_ev_cell": 5.17}

Computed relative energies in units of eV/atom: 1 0.000; 2 0.208

1 | {"formula": "AlB4", "functional": "PBE", "state": "relaxed", "lattice": [[4.136, 0.000, 0.000], [0.000, 4.136, 0.000], [0.000, 0.000, 4.136]], "species": ["B", "B", "B", "B", "Al"], "frac_coords": [[0.000, 0.000, 0.000], [0.500, 0.000, 0.500], [0.000, 0.500, 0.500], [0.500, 0.500, 0.000], [0.500, 0.500, 0.500]], "sg": "Pm-3m", "n_ef_per_ev_cell": 2.91}

2 | {"formula": "AlB4", "functional": "PBE", "state": "relaxed", "lattice": [[-2.775, 3.044, -0.293], [-0.702, -0.321, -7.054], [-6.093, -2.874, 1.252]], "species": ["Al", "Al", "Al", "Al", "B", "B", "B", "B", "B", "B", "B", "B", "B", "B", "B", "B", "B", "B", "B", "B"], "frac_coords": [[0.829, 0.164, 0.602], [0.096, 0.671, 0.949], [0.904, 0.329, 0.051], [0.171, 0.836, 0.398], [0.602, 0.905, 0.554], [0.563, 0.590, 0.077], [0.437, 0.410, 0.923], [0.398, 0.095, 0.446], [0.422, 0.043, 0.189], [0.471, 0.174, 0.970], [0.529, 0.826, 0.030], [0.578, 0.957, 0.811], [0.443, 0.473, 0.682], [0.557, 0.527, 0.318], [0.496, 0.675, 0.548], [0.504, 0.325, 0.452], [0.195, 0.002, 0.009], [0.809, 0.491, 0.486], [0.805, 0.998, 0.991], [0.191, 0.509, 0.514]], "sg": "P-1", "n_ef_per_ev_cell": 2.24}

Computed relative energies in units of eV/atom: 1 2.444; 2 0.000

1 | {"formula": "BaAlB3", "functional": "PBE", "state": "relaxed", "lattice": [[-3.810, -1.775, 1.349], [2.229, -3.072, 2.255], [0.032, 2.627, 3.547]], "species": ["B", "B", "B", "Ba", "Al"], "frac_coords": [[0.000, 0.500, 0.000], [0.000, 0.000, 0.500], [0.500, 0.000, 0.000], [0.500, 0.500, 0.500], [0.000, 0.000, 0.000]], "sg": "Pm-3m", "n_ef_per_ev_cell": 3.06}

2 | {"formula": "BaAlB3", "functional": "PBE", "state": "relaxed", "lattice": [[4.970, 0.000, 0.000], [0.000, 4.970, 0.000], [0.000, 0.000, 4.970]], "species": ["B", "B", "B", "Ba", "Al"], "frac_coords": [[0.000, 0.500, 0.000], [0.000, 0.000, 0.500], [0.500, 0.000, 0.000], [0.000, 0.000, 0.000], [0.500, 0.500, 0.500]], "sg": "Pm-3m", "n_ef_per_ev_cell": 3.81}

Computed relative energies in units of eV/atom: 1 0.000; 2 1.716